An optimized crystal structure of ScC3Cl. Source: Alexandria, functional GGA-PBE.

- E_form (uncorrected) (eV/atom) = 2.748
- total DFT energy (no corrections) (eV for the cell shown) = -22.1

Lattice parameters (Å, degrees): 4.439 4.439 4.439 90.00 90.00 90.00
Atoms (fractional coordinates):
Cl  0.500  0.500  0.500
C  0.000  0.000  0.500
C  0.500  0.000  0.000
C  0.000  0.500  0.000
Sc  0.000  0.000  0.000